Record 1
VASP calculation (PBE) on an optimized crystal structure of La2Dy2TmHg5.

The structure in POSCAR format:
```
La2Dy2TmHg5
1.0
12.100 0.000 0.000
0.000 12.100 0.000
0.000 0.000 3.891
La Dy Tm Hg
4 4 2 10
direct
0.169 0.331 0.000 La
0.331 0.831 0.000 La
0.669 0.169 0.000 La
0.831 0.669 0.000 La
0.134 0.634 0.000 Dy
0.366 0.134 0.000 Dy
0.634 0.866 0.000 Dy
0.866 0.366 0.000 Dy
0.000 0.000 0.000 Tm
0.500 0.500 0.000 Tm
0.000 0.500 0.500 Hg
0.093 0.828 0.500 Hg
0.172 0.093 0.500 Hg
0.328 0.593 0.500 Hg
0.407 0.328 0.500 Hg
0.500 0.000 0.500 Hg
0.593 0.672 0.500 Hg
0.672 0.407 0.500 Hg
0.828 0.907 0.500 Hg
0.907 0.172 0.500 Hg
```

Results
Its space group is P4/mbm. The density of states at the Fermi level is 15.1 states/eV/cell. Its formation energy is -0.353 eV/atom. The total energy comes out at -2.857 eV/atom.

Record 2
VASP calculation (PBE) on an optimized crystal structure of La2DyTmHg2.

The structure in POSCAR format:
```
La2DyTmHg2
1.0
5.147 0.000 0.000
0.000 9.627 0.000
0.000 0.000 7.176
La Dy Tm Hg
4 2 2 4
direct
0.000 0.056 0.000 La
0.000 0.944 0.500 La
0.500 0.172 0.309 La
0.500 0.828 0.809 La
0.500 0.447 0.967 Dy
0.500 0.553 0.467 Dy
0.000 0.329 0.652 Tm
0.000 0.671 0.152 Tm
0.000 0.368 0.225 Hg
0.000 0.632 0.725 Hg
0.500 0.166 0.750 Hg
0.500 0.834 0.250 Hg
```

Results
Its space group is Pmc2_1. The density of states at the Fermi level is 7.6 states/eV/cell. Its formation energy is -0.339 eV/atom. The total energy comes out at -3.594 eV/atom.

Record 3
VASP calculation (PBE) on an optimized crystal structure of LaDyYHg.

The structure in POSCAR format:
```
LaDyYHg
1.0
3.682 0.000 0.000
0.000 3.682 0.000
0.000 0.000 8.915
La Dy Y Hg
1 1 1 1
direct
0.000 0.000 0.000 La
0.500 0.500 0.285 Dy
0.500 0.500 0.710 Y
0.000 0.000 0.496 Hg
```

Results
Its space group is P4mm. The density of states at the Fermi level is 6.4 states/eV/cell. For the energy above the most stable polymorph in this dataset, the calculation gives 0 meV/atom. Its formation energy is -0.233 eV/atom. The total energy comes out at -4.307 eV/atom.